# PBE LiNiAuBr2, relaxed
data_LiNiAuBr2
_chemical_formula_sum 'Li1 Ni1 Au1 Br2'
_space_group_name_H-M_alt 'P 1'
_space_group_IT_number 1
_cell_length_a 4.826
_cell_length_b 4.821
_cell_length_c 4.826
_cell_angle_alpha 90.00
_cell_angle_beta 90.00
_cell_angle_gamma 90.00
loop_
_space_group_symop_operation_xyz
'x,y,z'
loop_
_atom_site_label
_atom_site_type_symbol
_atom_site_fract_x
_atom_site_fract_y
_atom_site_fract_z
Ni1 Ni 0.500 0.500 0.500
Au1 Au 0.000 0.500 0.000
Br1 Br 0.000 0.000 0.500
Br2 Br 0.500 0.000 0.000
Li1 Li 0.000 0.000 0.000
# SG: P4/mmm (123)
# uncorrected formation energy: 0.361 eV per atom
# Fermi-level density of states: 8.7 states/eV/f.u.


# PBE Mn2ZnP2, relaxed
data_Mn2ZnP2
_chemical_formula_sum 'Mn4 Zn2 P4'
_space_group_name_H-M_alt 'P 1'
_space_group_IT_number 1
_cell_length_a 6.620
_cell_length_b 6.620
_cell_length_c 2.696
_cell_angle_alpha 90.00
_cell_angle_beta 90.00
_cell_angle_gamma 90.00
loop_
_space_group_symop_operation_xyz
'x,y,z'
loop_
_atom_site_label
_atom_site_type_symbol
_atom_site_fract_x
_atom_site_fract_y
_atom_site_fract_z
P1 P 0.356 0.856 0.000
P2 P 0.856 0.644 0.000
P3 P 0.644 0.144 0.000
P4 P 0.144 0.356 0.000
Zn1 Zn 0.000 0.000 0.000
Zn2 Zn 0.500 0.500 0.000
Mn1 Mn 0.148 0.648 0.500
Mn2 Mn 0.648 0.852 0.500
Mn3 Mn 0.852 0.352 0.500
Mn4 Mn 0.352 0.148 0.500
# SG: P4/mbm (127)
# Fermi-level density of states: 4.5 states/eV/f.u.
# formation energy: -0.132 eV per atom


# PBE FeSbS, relaxed
data_FeSbS
_chemical_formula_sum 'Fe4 Sb4 S4'
_space_group_name_H-M_alt 'P 1'
_space_group_IT_number 1
_cell_length_a 5.921
_cell_length_b 6.038
_cell_length_c 6.054
_cell_angle_alpha 67.47
_cell_angle_beta 90.00
_cell_angle_gamma 90.00
loop_
_space_group_symop_operation_xyz
'x,y,z'
loop_
_atom_site_label
_atom_site_type_symbol
_atom_site_fract_x
_atom_site_fract_y
_atom_site_fract_z
Fe1 Fe 0.982 0.697 0.302
Fe2 Fe 0.518 0.197 0.302
Fe3 Fe 0.018 0.303 0.698
Fe4 Fe 0.482 0.803 0.698
Sb1 Sb 0.367 0.631 0.147
Sb2 Sb 0.633 0.369 0.853
Sb3 Sb 0.133 0.131 0.147
Sb4 Sb 0.867 0.869 0.853
S1 S 0.360 0.170 0.642
S2 S 0.640 0.830 0.358
S3 S 0.860 0.330 0.358
S4 S 0.140 0.670 0.642
# SG: P2_1/c (14)
# uncorrected formation energy: -0.364 eV per atom


# PBE YIn4Hg, relaxed
data_YIn4Hg
_chemical_formula_sum 'Y1 In4 Hg1'
_space_group_name_H-M_alt 'P 1'
_space_group_IT_number 1
_cell_length_a 6.104
_cell_length_b 6.104
_cell_length_c 6.104
_cell_angle_alpha 60.00
_cell_angle_beta 60.00
_cell_angle_gamma 60.00
loop_
_space_group_symop_operation_xyz
'x,y,z'
loop_
_atom_site_label
_atom_site_type_symbol
_atom_site_fract_x
_atom_site_fract_y
_atom_site_fract_z
Y1 Y 0.750 0.750 0.750
In1 In 0.876 0.375 0.375
In2 In 0.375 0.375 0.876
In3 In 0.375 0.876 0.375
In4 In 0.375 0.375 0.375
Hg1 Hg 0.000 0.000 0.000
# SG: F-43m (216)
# Fermi-level density of states: 4.4 states/eV/f.u.
# formation energy: -0.064 eV per atom


| no. | V (Å³/cell) |
| --- | --- |
| 1 | 112.3 |
| 2 | 118.1 |
| 3 | 199.9 |
| 4 | 160.8 |